Compound: Rb2AgBiS4
Source: the Open Quantum Materials Database
Functional: PBE
Structure: optimized geometry

Output
Symmetry: Fddd (70)
VASP energy, eV/atom: -3.641

The structure in CIF format:
```
data_Rb2AgBiS4
_chemical_formula_sum 'Rb4 Ag2 Bi2 S8'
_space_group_name_H-M_alt 'P 1'
_space_group_IT_number 1
_space_group_name_Hall 'P 1'
_cell_length_a 13.404
_cell_length_b 11.860
_cell_length_c 7.703
_cell_angle_alpha 83.61
_cell_angle_beta 61.56
_cell_angle_gamma 34.83
loop_
_atom_site_label
_atom_site_fract_x
_atom_site_fract_y
_atom_site_fract_z
Bi1 0.750 0.750 0.750
S1 0.232 0.891 0.561
Rb1 0.566 0.566 0.934
Rb2 0.684 0.684 0.316
Ag1 0.250 0.250 0.250
S2 0.018 0.359 0.689
S3 0.316 0.561 0.891
S4 0.561 0.316 0.232
S5 0.891 0.232 0.316
Bi2 0.500 0.500 0.500
S6 0.689 0.934 0.018
Rb3 0.316 0.316 0.684
S7 0.934 0.689 0.359
S8 0.359 0.018 0.934
Rb4 0.934 0.934 0.566
Ag2 0.000 0.000 0.000
```